[1]
PBE SrZr2Mo, relaxed; magnetization = 0.0 μB/f.u.; energy above the lowest structure with this stoichiometry = 302.5 meV/atom; formation energy from the elements = 0.509 eV/atom
1.0
7.384 0.248 -0.016
4.917 5.514 0.016
-5.801 -3.627 2.789
Mo Sr Zr
1 1 2
direct
0.516 0.516 0.000
0.305 0.805 0.500
0.018 0.018 0.000
0.661 0.161 0.500

---

[2]
PBE Sr2ZrMo, relaxed; magnetization = 0.0 μB/f.u.; energy above the lowest structure with this stoichiometry = 499.4 meV/atom; formation energy from the elements = 0.895 eV/atom
1.0
5.320 0.000 0.000
2.660 4.608 0.000
2.660 1.536 4.344
Mo Sr Zr
1 2 1
direct
0.500 0.500 0.500
0.000 0.000 0.000
0.250 0.250 0.250
0.750 0.750 0.750

---

[3]
PBE Sr2ZrMo, relaxed; magnetization = 2.5 μB/f.u.; energy above the lowest structure with this stoichiometry = 797.1 meV/atom; formation energy from the elements = 1.192 eV/atom
1.0
5.561 0.000 0.000
0.000 5.561 0.000
0.000 0.000 3.934
Mo Sr Zr
1 2 1
direct
0.000 0.500 0.500
0.000 0.000 0.000
0.500 0.500 0.000
0.500 0.000 0.500

---

[4]
PBE SrZrMo2, relaxed; magnetization = 0.0 μB/f.u.; energy above the lowest structure with this stoichiometry = 318.0 meV/atom; formation energy from the elements = 0.717 eV/atom
1.0
-1.397 -2.367 1.127
2.299 -0.934 -1.633
5.875 0.370 8.058
Mo Sr Zr
2 1 1
direct
0.000 0.000 0.974
0.000 0.000 0.526
0.500 0.500 0.250
0.500 0.500 0.750

---

[5]
PBE SrZrMo2, relaxed; magnetization = 0.0 μB/f.u.; energy above the lowest structure with this stoichiometry = 508.1 meV/atom; formation energy from the elements = 0.907 eV/atom
1.0
-3.197 4.887 0.362
1.432 -2.694 4.992
2.057 1.741 0.795
Mo Sr Zr
2 1 1
direct
0.000 0.000 0.000
0.500 0.500 0.000
0.500 0.000 0.500
0.000 0.500 0.500

---

[6]
PBE SrZrMo2, relaxed; magnetization = 0.0 μB/f.u.; energy above the lowest structure with this stoichiometry = 385.3 meV/atom; formation energy from the elements = 0.784 eV/atom
1.0
-1.801 0.167 2.195
0.344 -2.779 0.494
7.872 2.094 6.299
Mo Sr Zr
2 1 1
direct
0.000 0.000 0.979
0.000 0.000 0.521
0.500 0.500 0.250
0.500 0.500 0.750

---

[7]
PBE SrZr2Mo, relaxed; magnetization = 0.0 μB/f.u.; energy above the lowest structure with this stoichiometry = 236.2 meV/atom; formation energy from the elements = 0.442 eV/atom
1.0
-1.097 2.369 -3.790
-3.760 1.766 -1.980
0.747 6.782 3.362
Mo Sr Zr
1 1 2
direct
0.750 0.750 0.750
0.250 0.250 0.250
0.019 0.019 0.920
0.481 0.481 0.580

---

[8]
PBE SrZrMo, relaxed; magnetization = 0.0 μB/f.u.; energy above the lowest structure with this stoichiometry = 6.6 meV/atom; formation energy from the elements = 0.280 eV/atom
1.0
-0.177 -3.525 -0.129
4.040 -0.146 -1.556
8.346 -1.150 21.778
Sr Mo Zr
4 4 4
direct
0.751 0.000 0.178
0.249 0.000 0.822
0.751 0.500 0.678
0.249 0.500 0.322
0.751 0.000 0.041
0.249 0.000 0.959
0.751 0.500 0.541
0.249 0.500 0.459
0.749 0.000 0.441
0.251 0.000 0.559
0.749 0.500 0.941
0.251 0.500 0.059

---

[9]
PBE SrZrMo2, relaxed; magnetization = 0.0 μB/f.u.; energy above the lowest structure with this stoichiometry = 548.5 meV/atom; formation energy from the elements = 0.947 eV/atom
1.0
-3.234 -0.048 -4.742
2.747 -1.234 -4.887
-1.460 -1.854 5.232
Mo Sr Zr
2 1 1
direct
0.986 0.986 0.000
0.514 0.514 0.000
0.250 0.750 0.500
0.750 0.250 0.500

---

[10]
PBE Sr2ZrMo, relaxed; magnetization = 0.0 μB/f.u.; energy above the lowest structure with this stoichiometry = 606.0 meV/atom; formation energy from the elements = 1.001 eV/atom
1.0
11.837 0.000 0.000
0.000 11.837 0.000
5.919 5.919 2.410
Sr Mo Zr
4 2 2
direct
0.787 0.125 0.250
0.963 0.625 0.250
0.375 0.213 0.750
0.875 0.037 0.750
0.000 0.000 0.000
0.750 0.250 0.500
0.500 0.500 0.000
0.250 0.750 0.500

---

[11]
PBE SrZrMo2, relaxed; magnetization = 0.0 μB/f.u.; energy above the lowest structure with this stoichiometry = 0.0 meV/atom; formation energy from the elements = 0.399 eV/atom
1.0
-2.961 0.583 1.263
-1.204 -2.562 -1.640
1.843 -5.157 6.703
Mo Sr Zr
2 1 1
direct
0.000 0.000 0.028
0.500 0.500 0.181
0.000 0.000 0.464
0.500 0.500 0.827

---

[12]
PBE Sr2ZrMo, relaxed; magnetization = 0.0 μB/f.u.; energy above the lowest structure with this stoichiometry = 234.0 meV/atom; formation energy from the elements = 0.629 eV/atom
1.0
-1.960 1.067 6.390
4.163 -2.099 4.906
-1.268 4.020 -5.295
Mo Sr Zr
1 2 1
direct
0.281 0.781 0.500
0.040 0.040 0.000
0.736 0.236 0.500
0.443 0.443 0.000

---

[13]
PBE SrZrMo, relaxed; magnetization = 0.0 μB/f.u.; energy above the lowest structure with this stoichiometry = 226.4 meV/atom; formation energy from the elements = 0.500 eV/atom
1.0
-3.070 3.884 -4.420
-4.998 -0.802 -4.292
2.386 -0.814 6.139
Mo Sr Zr
1 1 1
direct
0.035 0.035 0.000
0.343 0.343 0.000
0.622 0.622 0.000

---

[14]
PBE SrZr2Mo, relaxed; magnetization = 0.8 μB/f.u.; energy above the lowest structure with this stoichiometry = 577.9 meV/atom; formation energy from the elements = 0.784 eV/atom
1.0
-3.756 -3.049 1.558
1.961 0.277 4.681
-1.186 4.309 -2.420
Mo Sr Zr
1 1 2
direct
0.500 0.500 0.000
0.750 0.250 0.500
0.000 0.000 0.000
0.250 0.750 0.500

---

[15]
PBE SrZr2Mo, relaxed; magnetization = 0.0 μB/f.u.; energy above the lowest structure with this stoichiometry = 370.5 meV/atom; formation energy from the elements = 0.577 eV/atom
1.0
-2.333 -4.560 0.239
-0.080 -4.586 -2.292
4.588 -2.697 4.111
Mo Sr Zr
1 1 2
direct
0.492 0.492 0.597
0.243 0.243 0.265
0.010 0.010 0.913
0.755 0.755 0.725

---

[16]
PBE SrZrMo2, relaxed; magnetization = 0.0 μB/f.u.; energy above the lowest structure with this stoichiometry = 97.2 meV/atom; formation energy from the elements = 0.496 eV/atom
1.0
-0.639 -3.545 -0.995
3.394 -0.960 1.240
-2.703 -1.306 6.389
Mo Sr Zr
2 1 1
direct
0.000 0.000 0.914
0.000 0.000 0.586
0.500 0.500 0.250
0.500 0.500 0.750

---

[17]
PBE SrZrMo, relaxed; magnetization = 0.0 μB/f.u.; energy above the lowest structure with this stoichiometry = 0.0 meV/atom; formation energy from the elements = 0.273 eV/atom
1.0
3.285 0.000 0.001
0.000 3.285 0.000
-0.068 0.000 14.781
Sr Mo Zr
2 2 2
direct
0.259 0.250 0.377
0.741 0.750 0.623
0.251 0.250 0.049
0.749 0.750 0.951
0.246 0.250 0.830
0.754 0.750 0.170

---

[18]
PBE SrZrMo2, relaxed; magnetization = 0.2 μB/f.u.; energy above the lowest structure with this stoichiometry = 611.7 meV/atom; formation energy from the elements = 1.011 eV/atom
1.0
-2.877 0.344 1.774
-0.668 -4.836 -0.146
2.543 -0.479 4.217
Mo Sr Zr
2 1 1
direct
0.000 0.000 0.000
0.500 0.500 0.000
0.500 0.000 0.500
0.000 0.500 0.500

---

[19]
PBE SrZr2Mo, relaxed; magnetization = 0.0 μB/f.u.; energy above the lowest structure with this stoichiometry = 524.5 meV/atom; formation energy from the elements = 0.731 eV/atom
1.0
5.859 0.003 0.010
-2.892 5.493 -0.005
0.075 0.810 2.871
Mo Sr Zr
1 1 2
direct
0.000 0.500 0.500
0.500 0.500 0.000
0.000 0.000 0.000
0.500 0.000 0.500

---

[20]
PBE Sr2ZrMo, relaxed; magnetization = 0.0 μB/f.u.; energy above the lowest structure with this stoichiometry = 158.1 meV/atom; formation energy from the elements = 0.553 eV/atom
1.0
9.913 -0.003 -0.007
9.329 3.351 -0.007
0.919 0.160 4.158
Mo Sr Zr
1 2 1
direct
0.250 0.250 0.250
0.907 0.907 0.093
0.593 0.593 0.407
0.750 0.750 0.750